Below is a relaxed MgNi2CO crystal, with properties calculated at the GGA+U level.

Computed properties:
The value obtained for the magnetic moment is 2.0 μB per formula unit. For the total energy, the calculation gives -18.29 eV for the cell shown. As for the crystal system: tetragonal.

Unit cell a=3.8665 b=3.8793 c=3.8665 alpha=90.00 beta=90.00 gamma=90.00
With the nearest neighbours (Å) after each atom.
Fractional positions:
Mg (0.0000, 0.5000, 0.0000)  2 O 1.94
Ni (0.0000, 0.0000, 0.5000)  2 O 1.93
Ni (0.5000, 0.0000, 0.0000)  2 O 1.93
O (0.0000, 0.0000, 0.0000)  4 Ni 1.93, 2 Mg 1.94
C (0.5000, 0.5000, 0.5000)  4 Mg 2.73, 8 Ni 2.74